# Er3Pa2Fe4 PBE optimized geometry
data_Er3Pa2Fe4
_space_group_name_H-M_alt 'P 1'
_space_group_IT_number 1
_cell_length_a 6.475
_cell_length_b 6.475
_cell_length_c 8.252
_cell_angle_alpha 107.24
_cell_angle_beta 107.24
_cell_angle_gamma 32.73
loop_
_space_group_symop_operation_xyz
'x,y,z'
loop_
_atom_site_label
_atom_site_fract_x
_atom_site_fract_y
_atom_site_fract_z
Er1 0.000 0.000 0.000
Er2 0.402 0.402 0.292
Er3 0.598 0.598 0.708
Pa1 0.317 0.317 0.685
Pa2 0.683 0.683 0.315
Fe1 0.093 0.093 0.422
Fe2 0.287 0.287 0.931
Fe3 0.713 0.713 0.069
Fe4 0.907 0.907 0.578
# Total energy = -7.533 eV per atom
# ΔH_f (0 K) = -140 meV per atom

---

# ErPaFeRu PBE optimized geometry
data_ErPaFeRu
_space_group_name_H-M_alt 'P 1'
_space_group_IT_number 1
_cell_length_a 4.770
_cell_length_b 4.770
_cell_length_c 4.770
_cell_angle_alpha 60.00
_cell_angle_beta 60.00
_cell_angle_gamma 60.00
loop_
_space_group_symop_operation_xyz
'x,y,z'
loop_
_atom_site_label
_atom_site_fract_x
_atom_site_fract_y
_atom_site_fract_z
Er1 0.000 0.000 0.000
Pa1 0.500 0.500 0.500
Fe1 0.750 0.750 0.750
Ru1 0.250 0.250 0.250
# Total energy = -8.143 eV per atom
# ΔH_f (0 K) = -193 meV per atom

---

# Er2ScPaFe2 PBE optimized geometry
data_Er2ScPaFe2
_space_group_name_H-M_alt 'P 1'
_space_group_IT_number 1
_cell_length_a 7.816
_cell_length_b 7.816
_cell_length_c 7.816
_cell_angle_alpha 132.00
_cell_angle_beta 70.58
_cell_angle_gamma 131.55
loop_
_space_group_symop_operation_xyz
'x,y,z'
loop_
_atom_site_label
_atom_site_fract_x
_atom_site_fract_y
_atom_site_fract_z
Er1 0.193 0.239 0.432
Er2 0.307 0.739 0.047
Er3 0.693 0.261 0.953
Er4 0.807 0.761 0.568
Sc1 0.250 0.250 0.000
Sc2 0.750 0.750 0.000
Pa1 0.250 0.750 0.500
Pa2 0.750 0.250 0.500
Fe1 0.095 0.714 0.809
Fe2 0.405 0.214 0.619
Fe3 0.595 0.786 0.381
Fe4 0.905 0.286 0.191
# Total energy = -7.062 eV per atom
# ΔH_f (0 K) = -83 meV per atom

---

# Er2TmPaFe2 PBE optimized geometry
data_Er2TmPaFe2
_space_group_name_H-M_alt 'P 1'
_space_group_IT_number 1
_cell_length_a 7.939
_cell_length_b 7.939
_cell_length_c 7.939
_cell_angle_alpha 130.33
_cell_angle_beta 71.59
_cell_angle_gamma 131.96
loop_
_space_group_symop_operation_xyz
'x,y,z'
loop_
_atom_site_label
_atom_site_fract_x
_atom_site_fract_y
_atom_site_fract_z
Er1 0.200 0.199 0.399
Er2 0.300 0.699 0.999
Er3 0.700 0.301 0.001
Er4 0.800 0.801 0.601
Tm1 0.250 0.750 0.500
Tm2 0.750 0.250 0.500
Pa1 0.250 0.250 0.000
Pa2 0.750 0.750 0.000
Fe1 0.097 0.802 0.899
Fe2 0.403 0.302 0.705
Fe3 0.597 0.698 0.295
Fe4 0.903 0.198 0.101
# Total energy = -6.727 eV per atom
# ΔH_f (0 K) = -57 meV per atom

---

# ErPaZnFe PBE optimized geometry
data_ErPaZnFe
_space_group_name_H-M_alt 'P 1'
_space_group_IT_number 1
_cell_length_a 4.843
_cell_length_b 4.843
_cell_length_c 4.843
_cell_angle_alpha 60.00
_cell_angle_beta 60.00
_cell_angle_gamma 60.00
loop_
_space_group_symop_operation_xyz
'x,y,z'
loop_
_atom_site_label
_atom_site_fract_x
_atom_site_fract_y
_atom_site_fract_z
Er1 0.000 0.000 0.000
Pa1 0.500 0.500 0.500
Zn1 0.750 0.750 0.750
Fe1 0.250 0.250 0.250
# Total energy = -5.916 eV per atom
# ΔH_f (0 K) = 33 meV per atom

---

# Er5FePb2 PBE optimized geometry
data_Er5FePb2
_space_group_name_H-M_alt 'P 1'
_space_group_IT_number 1
_cell_length_a 8.669
_cell_length_b 8.669
_cell_length_c 12.337
_cell_angle_alpha 90.00
_cell_angle_beta 90.00
_cell_angle_gamma 143.80
loop_
_space_group_symop_operation_xyz
'x,y,z'
loop_
_atom_site_label
_atom_site_fract_x
_atom_site_fract_y
_atom_site_fract_z
Er1 0.070 0.930 0.611
Er2 0.070 0.930 0.889
Er3 0.284 0.716 0.585
Er4 0.284 0.716 0.915
Er5 0.302 0.698 0.250
Er6 0.698 0.302 0.750
Er7 0.716 0.284 0.085
Er8 0.716 0.284 0.415
Er9 0.930 0.070 0.111
Er10 0.930 0.070 0.389
Fe1 0.178 0.822 0.750
Fe2 0.822 0.178 0.250
Pb1 0.125 0.875 0.123
Pb2 0.125 0.875 0.377
Pb3 0.875 0.125 0.623
Pb4 0.875 0.125 0.877
# Total energy = -4.751 eV per atom
# ΔH_f (0 K) = 86 meV per atom

---

# Er2FePb PBE optimized geometry
data_Er2FePb
_space_group_name_H-M_alt 'P 1'
_space_group_IT_number 1
_cell_length_a 10.120
_cell_length_b 10.120
_cell_length_c 10.120
_cell_angle_alpha 20.18
_cell_angle_beta 20.18
_cell_angle_gamma 20.18
loop_
_space_group_symop_operation_xyz
'x,y,z'
loop_
_atom_site_label
_atom_site_fract_x
_atom_site_fract_y
_atom_site_fract_z
Er1 0.108 0.108 0.108
Er2 0.892 0.892 0.892
Fe1 0.500 0.500 0.500
Pb1 0.000 0.000 0.000
# Total energy = -5.143 eV per atom
# ΔH_f (0 K) = 182 meV per atom

---

# Er8FePb2 PBE optimized geometry
data_Er8FePb2
_space_group_name_H-M_alt 'P 1'
_space_group_IT_number 1
_cell_length_a 9.339
_cell_length_b 9.339
_cell_length_c 6.569
_cell_angle_alpha 96.13
_cell_angle_beta 96.13
_cell_angle_gamma 31.99
loop_
_space_group_symop_operation_xyz
'x,y,z'
loop_
_atom_site_label
_atom_site_fract_x
_atom_site_fract_y
_atom_site_fract_z
Er1 0.023 0.023 0.278
Er2 0.212 0.212 0.140
Er3 0.362 0.362 0.599
Er4 0.413 0.413 0.121
Er5 0.587 0.587 0.879
Er6 0.638 0.638 0.401
Er7 0.788 0.788 0.860
Er8 0.977 0.977 0.722
Fe1 0.500 0.500 0.500
Pb1 0.176 0.176 0.663
Pb2 0.824 0.824 0.337
# Total energy = -4.917 eV per atom
# ΔH_f (0 K) = -155 meV per atom

---

# Er2FePb PBE optimized geometry
data_Er2FePb
_space_group_name_H-M_alt 'P 1'
_space_group_IT_number 1
_cell_length_a 3.344
_cell_length_b 3.344
_cell_length_c 8.201
_cell_angle_alpha 90.00
_cell_angle_beta 90.00
_cell_angle_gamma 90.00
loop_
_space_group_symop_operation_xyz
'x,y,z'
loop_
_atom_site_label
_atom_site_fract_x
_atom_site_fract_y
_atom_site_fract_z
Er1 0.000 0.000 0.195
Er2 0.000 0.000 0.805
Fe1 0.500 0.500 0.000
Pb1 0.500 0.500 0.500
# Total energy = -5.505 eV per atom
# ΔH_f (0 K) = -180 meV per atom

---

# Er8FePb2 PBE optimized geometry
data_Er8FePb2
_space_group_name_H-M_alt 'P 1'
_space_group_IT_number 1
_cell_length_a 9.276
_cell_length_b 9.276
_cell_length_c 6.693
_cell_angle_alpha 107.08
_cell_angle_beta 107.08
_cell_angle_gamma 33.25
loop_
_space_group_symop_operation_xyz
'x,y,z'
loop_
_atom_site_label
_atom_site_fract_x
_atom_site_fract_y
_atom_site_fract_z
Er1 0.012 0.012 0.237
Er2 0.206 0.206 0.101
Er3 0.361 0.361 0.697
Er4 0.411 0.411 0.245
Er5 0.589 0.589 0.755
Er6 0.639 0.639 0.303
Er7 0.794 0.794 0.899
Er8 0.988 0.988 0.763
Fe1 0.500 0.500 0.000
Pb1 0.171 0.171 0.611
Pb2 0.829 0.829 0.389
# Total energy = -4.922 eV per atom
# ΔH_f (0 K) = -160 meV per atom

---

# Er4FePb PBE optimized geometry
data_Er4FePb
_space_group_name_H-M_alt 'P 1'
_space_group_IT_number 1
_cell_length_a 7.890
_cell_length_b 7.890
_cell_length_c 5.966
_cell_angle_alpha 100.63
_cell_angle_beta 100.63
_cell_angle_gamma 113.01
loop_
_space_group_symop_operation_xyz
'x,y,z'
loop_
_atom_site_label
_atom_site_fract_x
_atom_site_fract_y
_atom_site_fract_z
Er1 0.053 0.732 0.948
Er2 0.203 0.346 0.630
Er3 0.268 0.947 0.552
Er4 0.346 0.203 0.130
Er5 0.654 0.797 0.870
Er6 0.732 0.053 0.448
Er7 0.797 0.654 0.370
Er8 0.947 0.268 0.052
Fe1 0.000 0.000 0.250
Fe2 0.000 0.000 0.750
Pb1 0.370 0.630 0.250
Pb2 0.630 0.370 0.750
# Total energy = -5.309 eV per atom
# ΔH_f (0 K) = -239 meV per atom

---

# Er3Fe3Pb PBE optimized geometry
data_Er3Fe3Pb
_space_group_name_H-M_alt 'P 1'
_space_group_IT_number 1
_cell_length_a 9.340
_cell_length_b 9.340
_cell_length_c 4.092
_cell_angle_alpha 90.00
_cell_angle_beta 90.00
_cell_angle_gamma 120.00
loop_
_space_group_symop_operation_xyz
'x,y,z'
loop_
_atom_site_label
_atom_site_fract_x
_atom_site_fract_y
_atom_site_fract_z
Er1 0.072 0.390 0.250
Er2 0.317 0.928 0.250
Er3 0.390 0.317 0.750
Er4 0.610 0.683 0.250
Er5 0.683 0.072 0.750
Er6 0.928 0.610 0.750
Fe1 0.020 0.157 0.750
Fe2 0.137 0.980 0.750
Fe3 0.157 0.137 0.250
Fe4 0.843 0.863 0.750
Fe5 0.863 0.020 0.250
Fe6 0.980 0.843 0.250
Pb1 0.333 0.667 0.750
Pb2 0.667 0.333 0.250
# Total energy = -6.240 eV per atom
# ΔH_f (0 K) = -128 meV per atom